{
  "formula": "Sr2ZnH6Ru",
  "functional": "PBE",
  "state": "relaxed",
  "total_magnetization_mub_per_fu": 0.000,
  "final_energy_ry_per_atom": -0.27272,
  "dos_at_fermi_per_ev_cell": 2.69,
  "cell": [[-3.389, 3.242, -1.496], [-1.012, -3.082, -4.384], [-2.805, -0.807, 4.607]],
  "species": ["Sr", "Sr", "Zn", "H", "H", "H", "H", "H", "H", "Ru"],
  "frac_coords": [[0.225, 0.333, 0.667], [0.775, 0.667, 0.333], [0.500, 0.000, 0.000], [0.794, 0.156, 0.312], [0.794, 0.156, 0.844], [0.794, 0.688, 0.844], [0.206, 0.844, 0.156], [0.206, 0.312, 0.156], [0.206, 0.844, 0.688], [0.000, 0.000, 0.000]]
}